(1)
Below is an optimized crystal structure of KSr, with properties calculated at the PBE level.

- density (Mg/m³) = 1.457
- symmetry = P6_3/mmc
- N(E_F) (states/eV per atom) = 1.1574
- calculated formation energy (eV per atom) = 0.41

Cell lengths 6.6702, 6.6702, 7.4943 Å; angles 90.00, 90.00, 120.00 degrees
With the nearest neighbours (Å) after each atom.
Sites, in units of the cell vectors:
K1 0.0000 0.0000 0.0000  2 K 3.75
K2 0.0000 0.0000 0.5000  2 K 3.75
Sr1 0.3333 0.6667 0.2500  6 K 4.28
Sr2 0.6667 0.3333 0.7500  6 K 4.28



(2)
Below is an optimized crystal structure of P3RuPb, with properties calculated at the PBE level.

- excess energy over the best structure of this formula in the dataset (eV/atom) = 0.000
- density (Mg/m³) = 6.515
- symmetry = Pm-3m
- N(E_F) (states/eV per atom) = 0.9318
- calculated formation energy (eV per atom) = 0.48

Cell lengths 4.6761, 4.6761, 4.6761 Å; angles 90.00, 90.00, 90.00 degrees
With the nearest neighbours (Å) after each atom.
Sites, in units of the cell vectors:
P1 0.0000 0.0000 0.5000  2 Ru 2.34
P2 0.0000 0.5000 0.0000  2 Ru 2.34
P3 0.5000 0.0000 0.0000  2 Ru 2.34
Ru1 0.0000 0.0000 0.0000  6 P 2.34
Pb1 0.5000 0.5000 0.5000  12 P 3.31



(3)
Below is an optimized crystal structure of HoCu2Br6, with properties calculated at the PBE level.

- excess energy over the best structure of this formula in the dataset (eV/atom) = 0.013
- density (Mg/m³) = 4.159
- symmetry = C2/c
- E_form (uncorrected) (eV/f.u.) = -8.69
- N(E_F) (states/eV per atom) = 0.7143

Cell lengths 9.5881, 9.5881, 6.8876 Å; angles 95.27, 95.27, 78.46 degrees
With the nearest neighbours (Å) after each atom.
Sites, in units of the cell vectors:
Ho1 0.0955 0.9045 0.7500  6 Br 2.78-2.82
Ho2 0.9045 0.0955 0.2500  6 Br 2.78-2.82
Cu1 0.3088 0.4572 0.7256  3 Br 2.31-2.36
Cu2 0.4572 0.3088 0.2256  3 Br 2.31-2.36
Cu3 0.5428 0.6912 0.7744  3 Br 2.31-2.36
Cu4 0.6912 0.5428 0.2744  3 Br 2.31-2.36
Br1 0.0372 0.1785 0.6065  2 Ho 2.78-2.82
Br2 0.1300 0.6284 0.8730  1 Cu 2.36
Br3 0.1785 0.0372 0.1065  2 Ho 2.78-2.82
Br4 0.2832 0.4697 0.3832  2 Cu 2.31-2.36
Br5 0.3716 0.8700 0.6270  1 Cu 2.36
Br6 0.4697 0.2832 0.8832  2 Cu 2.31-2.36
Br7 0.5303 0.7168 0.1168  2 Cu 2.31-2.36
Br8 0.6284 0.1300 0.3730  1 Cu 2.36
Br9 0.7168 0.5303 0.6168  2 Cu 2.31-2.36
Br10 0.8215 0.9628 0.8935  2 Ho 2.78-2.82
Br11 0.8700 0.3716 0.1270  1 Cu 2.36
Br12 0.9628 0.8215 0.3935  2 Ho 2.78-2.82



(4)
Below is an optimized crystal structure of Tb4SbAs2Se, with properties calculated at the PBE level.

- density (Mg/m³) = 7.815
- symmetry = P2/m
- E_form (uncorrected) (eV/f.u.) = -12.28
- N(E_F) (states/eV per atom) = 0.1838

Cell lengths 7.2572, 4.1930, 7.2967 Å; angles 90.00, 109.29, 90.00 degrees
With the nearest neighbours (Å) after each atom.
Sites, in units of the cell vectors:
Tb1 0.2417 0.0000 0.2350  3 As 2.90-2.93, 1 Se 3.01, 2 Sb 3.04
Tb2 0.2522 0.5000 0.7638  3 As 2.90-2.92, 2 Se 3.02, 1 Sb 3.04
Tb3 0.7478 0.5000 0.2362  3 As 2.90-2.92, 2 Se 3.02, 1 Sb 3.04
Tb4 0.7583 0.0000 0.7650  3 As 2.90-2.93, 1 Se 3.01, 2 Sb 3.04
Sb1 0.5000 0.5000 0.5000  6 Tb 3.04
As1 0.0000 0.5000 0.0000  6 Tb 2.90
As2 0.5000 0.0000 0.0000  6 Tb 2.92-2.93
Se1 0.0000 0.0000 0.5000  6 Tb 3.01-3.02